1.
A relaxed structure of PmEuAu, computed with GGA-PBE.

Properties
Energy relative to the elements = -0.504 eV/atom
Calculated volume = 92.2 Å³/cell
Polymorph energy (0 for the lowest one) = 0.0 meV/atom
E_tot = -6.605 eV per atom
Fermi-level density of states = 0.612 states/eV/atom

Cell lengths 3.748, 3.748, 7.081 Å; angles 105.35, 105.35, 90.00 degrees
Atoms (fractional coordinates):
Eu (0.026, 0.026, 0.053)
Au (0.676, 0.676, 0.352)
Pm (0.297, 0.297, 0.595)

=====

2.
A relaxed structure of ZrSbAs, computed with GGA-PBE.

Properties
E_form (uncorrected) = -283 meV/atom
Calculated volume = 319.9 Å³/cell
Polymorph energy (0 for the lowest one) = 333.4 meV/atom
E_tot = -6.057 eV per atom
Fermi-level density of states = 0.097 states/eV/atom

Cell lengths 6.839, 6.839, 6.839 Å; angles 90.00, 90.00, 90.00 degrees
Atoms (fractional coordinates):
As (0.599, 0.599, 0.599)
As (0.901, 0.401, 0.099)
As (0.099, 0.901, 0.401)
As (0.401, 0.099, 0.901)
Sb (0.371, 0.371, 0.371)
Sb (0.129, 0.629, 0.871)
Sb (0.871, 0.129, 0.629)
Sb (0.629, 0.871, 0.129)
Zr (0.035, 0.035, 0.035)
Zr (0.465, 0.965, 0.535)
Zr (0.535, 0.465, 0.965)
Zr (0.965, 0.535, 0.465)

=====

3.
A relaxed structure of CaGe2BiPt5, computed with GGA-PBE.

Properties
Energy relative to the elements = -0.482 eV/atom
Calculated volume = 193.7 Å³/cell
E_tot = -5.517 eV per atom
Fermi-level density of states = 0.381 states/eV/atom

Cell lengths 4.018, 4.018, 11.996 Å; angles 90.00, 90.00, 90.00 degrees
Atoms (fractional coordinates):
Ca (0.000, 0.000, 0.500)
Ge (0.500, 0.500, 0.299)
Ge (0.500, 0.500, 0.701)
Bi (0.000, 0.000, 0.000)
Pt (0.000, 0.500, 0.177)
Pt (0.500, 0.000, 0.177)
Pt (0.000, 0.500, 0.823)
Pt (0.500, 0.000, 0.823)
Pt (0.500, 0.500, 0.500)